No. 1
A plane-wave DFT calculation with GGA-PBE was carried out for TbU2Re9 after structural relaxation.

**Uncorrected energy**: -0.4249 Ha/atom
**Space-group type**: R-3m, No. 166
**Mass density**: 17.694 Mg/m³
**Formation energy**: 3.9 kJ/mol of atoms

Cell: 9.6266 9.6266 9.6266 Å, 31.55 31.55 31.55°
Fractional positions:
Tb1 0.0000 0.0000 0.0000
U1 0.1484 0.1484 0.1484
U2 0.8516 0.8516 0.8516
Re1 0.0788 0.5845 0.5845
Re2 0.3350 0.3350 0.3350
Re3 0.4155 0.4155 0.9212
Re4 0.4155 0.9212 0.4155
Re5 0.5000 0.5000 0.5000
Re6 0.5845 0.0788 0.5845
Re7 0.5845 0.5845 0.0788
Re8 0.6650 0.6650 0.6650
Re9 0.9212 0.4155 0.4155

No. 2
A plane-wave DFT calculation with GGA-PBE was carried out for TbURe after structural relaxation.

**E above lowest polymorph**: 0.0000 eV per atom
**Uncorrected energy**: -0.3414 Ha/atom
**Space-group type**: I4mm, No. 107
**Mass density**: 14.610 Mg/m³
**Formation energy**: 16.1 kJ/mol of atoms

Cell: 3.4682 3.4682 11.0204 Å, 90.00 90.00 90.00°
Fractional positions:
Tb1 0.0000 0.0000 0.0000
Tb2 0.5000 0.5000 0.5000
U1 0.0000 0.0000 0.6990
U2 0.5000 0.5000 0.1990
Re1 0.0000 0.0000 0.3085
Re2 0.5000 0.5000 0.8085

No. 3
A plane-wave DFT calculation with GGA-PBE was carried out for TbVRe after structural relaxation.

**Uncorrected energy**: -0.3191 Ha/atom
**Space-group type**: Pbcm, No. 57
**Mass density**: 10.981 Mg/m³
**Formation energy**: 4.7 kJ/mol of atoms

Cell: 5.8907 7.6795 5.2959 Å, 90.00 90.00 90.00°
Fractional positions:
Tb1 0.1263 0.1056 0.2500
Tb2 0.1263 0.3944 0.7500
Tb3 0.8737 0.6056 0.2500
Tb4 0.8737 0.8944 0.7500
V1 0.3927 0.0285 0.7500
V2 0.3927 0.4715 0.2500
V3 0.6073 0.5285 0.7500
V4 0.6073 0.9715 0.2500
Re1 0.3708 0.7500 0.0000
Re2 0.3708 0.7500 0.5000
Re3 0.6292 0.2500 0.0000
Re4 0.6292 0.2500 0.5000

No. 4
A plane-wave DFT calculation with GGA-PBE was carried out for TbV2Re after structural relaxation.

**Uncorrected energy**: -0.3167 Ha/atom
**Space-group type**: R-3m, No. 166
**Mass density**: 9.422 Mg/m³
**Formation energy**: 20.4 kJ/mol of atoms

Cell: 4.2326 4.2326 15.2341 Å, 90.00 90.00 120.00°
Fractional positions:
Tb1 0.0000 0.0000 0.0000
Tb2 0.3333 0.6667 0.6667
Tb3 0.6667 0.3333 0.3333
V1 0.0000 0.0000 0.2013
V2 0.0000 0.0000 0.7987
V3 0.3333 0.6667 0.4654
V4 0.3333 0.6667 0.8679
V5 0.6667 0.3333 0.1321
V6 0.6667 0.3333 0.5346
Re1 0.0000 0.0000 0.5000
Re2 0.3333 0.6667 0.1667
Re3 0.6667 0.3333 0.8333

No. 5
A plane-wave DFT calculation with GGA-PBE was carried out for TbZrZnRe after structural relaxation.

**Uncorrected energy**: -0.2503 Ha/atom
**Space-group type**: F-43m, No. 216
**Mass density**: 10.497 Mg/m³
**Formation energy**: -8.4 kJ/mol of atoms

Cell: 6.8221 6.8221 6.8221 Å, 90.00 90.00 90.00°
Fractional positions:
Tb1 0.0000 0.0000 0.0000
Tb2 0.0000 0.5000 0.5000
Tb3 0.5000 0.0000 0.5000
Tb4 0.5000 0.5000 0.0000
Zr1 0.0000 0.0000 0.5000
Zr2 0.0000 0.5000 0.0000
Zr3 0.5000 0.0000 0.0000
Zr4 0.5000 0.5000 0.5000
Zn1 0.2500 0.2500 0.7500
Zn2 0.2500 0.7500 0.2500
Zn3 0.7500 0.2500 0.2500
Zn4 0.7500 0.7500 0.7500
Re1 0.2500 0.2500 0.2500
Re2 0.2500 0.7500 0.7500
Re3 0.7500 0.2500 0.7500
Re4 0.7500 0.7500 0.2500

No. 6
A plane-wave DFT calculation with GGA-PBE was carried out for TbZrRe4 after structural relaxation.

**Uncorrected energy**: -0.3935 Ha/atom
**Space-group type**: F-43m, No. 216
**Mass density**: 15.092 Mg/m³
**Formation energy**: -20.4 kJ/mol of atoms

Cell: 5.3696 5.3696 5.3696 Å, 60.00 60.00 60.00°
Fractional positions:
Tb1 0.0000 0.0000 0.0000
Zr1 0.7500 0.7500 0.7500
Re1 0.3753 0.3753 0.3753
Re2 0.3753 0.3753 0.8742
Re3 0.3753 0.8742 0.3753
Re4 0.8742 0.3753 0.3753

No. 7
A plane-wave DFT calculation with GGA-PBE was carried out for ReTc3 after structural relaxation.

**E above lowest polymorph**: 2.4703 eV per atom
**Uncorrected energy**: -0.3094 Ha/atom
**Space-group type**: Pm-3m, No. 221
**Mass density**: 7.510 Mg/m³
**Formation energy**: 238.0 kJ/mol of atoms

Cell: 4.7353 4.7353 4.7353 Å, 90.00 90.00 90.00°
Fractional positions:
Re1 0.0000 0.0000 0.0000
Tc1 0.0000 0.0000 0.5000
Tc2 0.0000 0.5000 0.0000
Tc3 0.5000 0.0000 0.0000

No. 8
A plane-wave DFT calculation with GGA-PBE was carried out for ReTc2 after structural relaxation.

**E above lowest polymorph**: 1.0797 eV per atom
**Uncorrected energy**: -0.3668 Ha/atom
**Space-group type**: Pa-3, No. 205
**Mass density**: 11.893 Mg/m³
**Formation energy**: 104.1 kJ/mol of atoms

Cell: 5.9763 5.9763 5.9763 Å, 90.00 90.00 90.00°
Fractional positions:
Re1 0.0000 0.0000 0.0000
Re2 0.0000 0.5000 0.5000
Re3 0.5000 0.0000 0.5000
Re4 0.5000 0.5000 0.0000
Tc1 0.1189 0.6189 0.8811
Tc2 0.1189 0.8811 0.3811
Tc3 0.3811 0.1189 0.8811
Tc4 0.3811 0.3811 0.3811
Tc5 0.6189 0.6189 0.6189
Tc6 0.6189 0.8811 0.1189
Tc7 0.8811 0.1189 0.6189
Tc8 0.8811 0.3811 0.1189

No. 9
A plane-wave DFT calculation with GGA-PBE was carried out for Re4Tc5 after structural relaxation.

**E above lowest polymorph**: 0.0000 eV per atom
**Uncorrected energy**: -0.4125 Ha/atom
**Space-group type**: I4/mmm, No. 139
**Mass density**: 15.394 Mg/m³
**Formation energy**: 6.4 kJ/mol of atoms

Cell: 6.1686 6.1686 6.1686 Å, 95.69 95.69 143.28°
Fractional positions:
Re1 0.0000 0.3327 0.3327
Re2 0.0000 0.6673 0.6673
Re3 0.3327 0.0000 0.3327
Re4 0.6673 0.0000 0.6673
Tc1 0.0000 0.0000 0.0000
Tc2 0.3337 0.3337 0.6674
Tc3 0.3337 0.6663 0.0000
Tc4 0.6663 0.3337 0.0000
Tc5 0.6663 0.6663 0.3326

No. 10
A plane-wave DFT calculation with GGA-PBE was carried out for ReTc2 after structural relaxation.

**E above lowest polymorph**: 0.9188 eV per atom
**Uncorrected energy**: -0.3727 Ha/atom
**Space-group type**: P4/mmm, No. 123
**Mass density**: 11.999 Mg/m³
**Formation energy**: 88.6 kJ/mol of atoms

Cell: 4.2163 4.2163 2.9754 Å, 90.00 90.00 90.00°
Fractional positions:
Re1 0.0000 0.0000 0.0000
Tc1 0.0000 0.5000 0.5000
Tc2 0.5000 0.0000 0.5000

No. 11
A plane-wave DFT calculation with GGA-PBE was carried out for ReTc3 after structural relaxation.

**E above lowest polymorph**: 0.0090 eV per atom
**Uncorrected energy**: -0.3999 Ha/atom
**Space-group type**: Pmmn, No. 59
**Mass density**: 13.606 Mg/m³
**Formation energy**: 0.5 kJ/mol of atoms

Cell: 4.4429 5.5238 4.7760 Å, 90.00 90.00 90.00°
Fractional positions:
Re1 0.2500 0.2500 0.1681
Re2 0.7500 0.7500 0.8319
Tc1 0.2500 0.0001 0.6684
Tc2 0.2500 0.4999 0.6684
Tc3 0.2500 0.7500 0.1666
Tc4 0.7500 0.9999 0.3316
Tc5 0.7500 0.2500 0.8334
Tc6 0.7500 0.5001 0.3316

No. 12
A plane-wave DFT calculation with GGA-PBE was carried out for ReTc3 after structural relaxation.

**E above lowest polymorph**: 0.0694 eV per atom
**Uncorrected energy**: -0.3977 Ha/atom
**Space-group type**: P2/m, No. 10
**Mass density**: 13.545 Mg/m³
**Formation energy**: 6.3 kJ/mol of atoms

Cell: 2.7479 3.8920 5.5046 Å, 90.00 90.19 90.00°
Fractional positions:
Re1 0.0000 0.0000 0.0000
Tc1 0.0000 0.0000 0.5000
Tc2 0.5005 0.5000 0.2510
Tc3 0.4995 0.5000 0.7490

The lowest formation energy belongs to which entry?
TbZrRe4

Which of these has the lowest mass density?
number 7

uncorrected energy of number 9 (Re4Tc5)?
-0.4125 Ha/atom